(1)
# Ho6BiTe3Pt2 PBE-GGA optimized geometry
data_Ho6BiTe3Pt2
_chemical_formula_sum 'Ho12 Bi2 Te6 Pt4'
_cell_length_a 19.034
_cell_length_b 4.222
_cell_length_c 8.765
_cell_angle_alpha 90.00
_cell_angle_beta 106.28
_cell_angle_gamma 90.00
_space_group_name_H-M_alt 'C 1 2/m 1'
_space_group_IT_number 12
loop_
_space_group_symop_operation_xyz
'x,y,z'
'-x,-y,-z'
'-x,y,-z'
'x,-y,z'
'x+1/2,y+1/2,z'
'-x+1/2,-y+1/2,-z'
'-x+1/2,y+1/2,-z'
'x+1/2,-y+1/2,z'
loop_
_atom_site_label
_atom_site_fract_x
_atom_site_fract_y
_atom_site_fract_z
_atom_site_occupancy
Ho1 0.016 0.000 0.260 1
Ho2 0.173 0.500 0.133 1
Ho3 0.174 0.500 0.572 1
Bi1 0.000 0.500 0.000 1
Te1 0.000 0.500 0.500 1
Te2 0.159 0.000 0.846 1
Pt1 0.171 0.000 0.351 1
# formation energy (no corrections)	-1197	meV per atom



(2)
# HoPu3Bi4 PBE-GGA optimized geometry
data_HoPu3Bi4
_chemical_formula_sum 'Ho2 Pu6 Bi8'
_cell_length_a 7.855
_cell_length_b 9.033
_cell_length_c 7.823
_cell_angle_alpha 90.00
_cell_angle_beta 109.40
_cell_angle_gamma 90.00
_space_group_name_H-M_alt 'P 1 2/c 1'
_space_group_IT_number 13
loop_
_space_group_symop_operation_xyz
'x,y,z'
'-x,-y,-z'
'-x,y,-z+1/2'
'x,-y,z+1/2'
loop_
_atom_site_label
_atom_site_fract_x
_atom_site_fract_y
_atom_site_fract_z
_atom_site_occupancy
Ho1 0.000 0.124 0.250 1
Pu1 0.000 0.374 0.750 1
Pu2 0.500 0.124 0.750 1
Pu3 0.500 0.374 0.250 1
Bi1 0.247 0.123 0.000 1
Bi2 0.248 0.374 0.499 1
# formation energy from the elements	-3.56	eV/f.u.



(3)
# Ho5PuBi6 PBE-GGA optimized geometry
data_Ho5PuBi6
_chemical_formula_sum 'Ho10 Pu2 Bi12'
_cell_length_a 7.758
_cell_length_b 13.427
_cell_length_c 7.757
_cell_angle_alpha 90.00
_cell_angle_beta 109.46
_cell_angle_gamma 90.00
_space_group_name_H-M_alt 'C 1 2/m 1'
_space_group_IT_number 12
loop_
_space_group_symop_operation_xyz
'x,y,z'
'-x,-y,-z'
'-x,y,-z'
'x,-y,z'
'x+1/2,y+1/2,z'
'-x+1/2,-y+1/2,-z'
'-x+1/2,y+1/2,-z'
'x+1/2,-y+1/2,z'
loop_
_atom_site_label
_atom_site_fract_x
_atom_site_fract_y
_atom_site_fract_z
_atom_site_occupancy
Ho1 0.000 0.000 0.000 1
Ho2 0.000 0.167 0.500 1
Ho3 0.000 0.335 0.000 1
Pu1 0.000 0.500 0.500 1
Bi1 0.248 0.000 0.751 1
Bi2 0.248 0.168 0.248 1
# formation energy from the elements	-8.94	eV/f.u.



(4)
# HoPuBi2 PBE-GGA optimized geometry
data_HoPuBi2
_chemical_formula_sum 'Ho4 Pu4 Bi8'
_cell_length_a 7.760
_cell_length_b 7.760
_cell_length_c 7.760
_cell_angle_alpha 90.00
_cell_angle_beta 90.00
_cell_angle_gamma 90.00
_space_group_name_H-M_alt 'F m -3 m'
_space_group_IT_number 225
_space_group_name_Hall '-F 4 2 3'
loop_
_atom_site_label
_atom_site_fract_x
_atom_site_fract_y
_atom_site_fract_z
_atom_site_occupancy
Ho1 0.000 0.000 0.000 1
Pu1 0.000 0.000 0.500 1
Bi1 0.250 0.250 0.250 1
# excess energy over the best structure of this formula in the dataset	145	meV per atom
# formation energy from the elements	-1.74	eV/f.u.



(5)
# HoPuBi2 PBE-GGA optimized geometry
data_HoPuBi2
_chemical_formula_sum 'Ho3 Pu3 Bi6'
_cell_length_a 4.5025
_cell_length_b 4.5025
_cell_length_c 22.0405
_cell_angle_alpha 90.00
_cell_angle_beta 90.00
_cell_angle_gamma 120.00
_space_group_name_H-M_alt 'R -3 m'
_space_group_IT_number 166
_space_group_name_Hall '-R 3 2"'
loop_
_atom_site_label
_atom_site_fract_x
_atom_site_fract_y
_atom_site_fract_z
_atom_site_occupancy
Ho1 0.0000 0.0000 0.0000 1
Pu1 0.0000 0.0000 0.5000 1
Bi1 0.0000 0.0000 0.2513 1
# excess energy over the best structure of this formula in the dataset	0	meV per atom
# formation energy from the elements	-2.32	eV/f.u.



(6)
# Ho2PuBi3 PBE-GGA optimized geometry
data_Ho2PuBi3
_chemical_formula_sum 'Ho4 Pu2 Bi6'
_cell_length_a 4.494
_cell_length_b 4.494
_cell_length_c 19.004
_cell_angle_alpha 90.00
_cell_angle_beta 90.00
_cell_angle_gamma 90.00
_space_group_name_H-M_alt 'I 4/m m m'
_space_group_IT_number 139
_space_group_name_Hall '-I 4 2'
loop_
_atom_site_label
_atom_site_fract_x
_atom_site_fract_y
_atom_site_fract_z
_atom_site_occupancy
Ho1 0.000 0.000 0.167 1
Pu1 0.000 0.000 0.500 1
Bi1 0.000 0.000 0.000 1
Bi2 0.000 0.000 0.332 1
# formation energy from the elements	-3.93	eV/f.u.



(7)
# HoPuBi2 PBE-GGA optimized geometry
data_HoPuBi2
_chemical_formula_sum 'Ho3 Pu3 Bi6'
_cell_length_a 4.4910
_cell_length_b 4.4910
_cell_length_c 22.6538
_cell_angle_alpha 90.00
_cell_angle_beta 90.00
_cell_angle_gamma 120.00
_space_group_name_H-M_alt 'R 3 m'
_space_group_IT_number 160
_space_group_name_Hall 'R 3 -2"'
loop_
_atom_site_label
_atom_site_fract_x
_atom_site_fract_y
_atom_site_fract_z
_atom_site_occupancy
Ho1 0.0000 0.0000 0.0000 1
Pu1 0.0000 0.0000 0.8294 1
Bi1 0.0000 0.0000 0.2475 1
Bi2 0.0000 0.0000 0.4153 1
# excess energy over the best structure of this formula in the dataset	99	meV per atom
# formation energy from the elements	-1.93	eV/f.u.



(8)
# HoPuBi2 PBE-GGA optimized geometry
data_HoPuBi2
_chemical_formula_sum 'Ho1 Pu1 Bi2'
_cell_length_a 3.731
_cell_length_b 3.731
_cell_length_c 8.333
_cell_angle_alpha 90.00
_cell_angle_beta 90.00
_cell_angle_gamma 90.00
_space_group_name_H-M_alt 'P 4/m m m'
_space_group_IT_number 123
_space_group_name_Hall '-P 4 2'
loop_
_atom_site_label
_atom_site_fract_x
_atom_site_fract_y
_atom_site_fract_z
_atom_site_occupancy
Ho1 0.000 0.000 0.000 1
Pu1 0.000 0.000 0.500 1
Bi1 0.500 0.500 0.244 1
# excess energy over the best structure of this formula in the dataset	124	meV per atom
# formation energy from the elements	-1.83	eV/f.u.



Number 1: VASP energy -5.601 eV per atom. Number 2: VASP energy -8.333 eV per atom. Number 3: VASP energy -5.788 eV per atom. Number 4: VASP energy -7.104 eV per atom. Number 5: VASP energy -7.249 eV per atom. Number 6: VASP energy -6.509 eV per atom. Number 7: VASP energy -7.149 eV per atom. Number 8: VASP energy -7.125 eV per atom.